This record from the Alexandria database describes an optimized crystal structure of Cr2InO. The functional is GGA+U.

Computed properties:
Energy relative to the lowest polymorph listed for this composition in meV per atom: 0
E_tot in eV/cell: -97.4

```
data_Cr2InO
_chemical_formula_sum 'Cr8 In4 O4'
_symmetry_space_group_name_H-M 'I -4 2 d'
_symmetry_Int_Tables_number 122
_symmetry_space_group_name_Hall 'I -4 2bw'
_cell_length_a 6.733
_cell_length_b 6.733
_cell_length_c 7.959
_cell_angle_alpha 90.00
_cell_angle_beta 90.00
_cell_angle_gamma 90.00
loop_
_atom_site_label
_atom_site_fract_x
_atom_site_fract_y
_atom_site_fract_z
Cr1 0.002 0.750 0.125
In1 0.000 0.000 0.500
O1 0.000 0.000 0.000
```